(1)
# PrDyErHg

A geometry-optimized PrDyErHg structure (PBE, Alexandria via LeMat-Bulk).

It has space group F-43m (No. 216), with a = 7.737 Å, b = 7.737 Å, c = 7.737 Å, α = 90.00°, β = 90.00° and γ = 90.00°. The inequivalent atoms are Pr at (0.000, 0.000, 0.000), Dy at (0.000, 0.000, 0.500), Er at (0.250, 0.250, 0.750) and Hg at (0.250, 0.250, 0.250).

The value obtained for the total energy is -3.6233 eV/atom. As for the formation energy from the elements: -62 meV/atom.

=====

(2)
# TaTe4I

A geometry-optimized TaTe4I structure (PBE, Alexandria via LeMat-Bulk).

It has space group C2/m (No. 12), with a = 16.772 Å, b = 8.133 Å, c = 6.401 Å, α = 90.00°, β = 92.13° and γ = 90.00°. The inequivalent atoms are Ta at (0.012, 0.000, 0.262), Te at (0.000, 0.266, 0.000), Te at (0.100, 0.220, 0.547), Te at (0.185, 0.000, 0.283) and I at (0.198, 0.500, 0.110).

The value obtained for the total energy is -4.4521 eV/atom. The uncorrected formation energy comes out at -0.124 eV/atom.

=====

(3)
# Na2MgO

A geometry-optimized Na2MgO structure (PBE, Alexandria via LeMat-Bulk).

It has space group Fm-3m (No. 225), with a = 6.772 Å, b = 6.772 Å, c = 6.772 Å, α = 90.00°, β = 90.00° and γ = 90.00°. The inequivalent atoms are Na at (0.250, 0.250, 0.250), Mg at (0.000, 0.000, 0.000) and O at (0.000, 0.000, 0.500).

The value obtained for the total energy is -2.4149 eV/atom. The uncorrected formation energy comes out at -0.117 eV/atom.

=====

(4)
# ReTeOsN2

A geometry-optimized ReTeOsN2 structure (PBE, Alexandria via LeMat-Bulk).

It has space group P4/mmm (No. 123), with a = 3.826 Å, b = 3.826 Å, c = 5.971 Å, α = 90.00°, β = 90.00° and γ = 90.00°. The inequivalent atoms are Re at (0.000, 0.000, 0.000), Te at (0.000, 0.000, 0.500), Os at (0.500, 0.500, 0.500) and N at (0.000, 0.500, 0.000).

The value obtained for the total energy is -7.4747 eV/atom. The uncorrected formation energy comes out at 1.219 eV/atom.

=====

(5)
# AcAlHgPb

A geometry-optimized AcAlHgPb structure (PBE, Alexandria via LeMat-Bulk).

It has space group F-43m (No. 216), with a = 7.738 Å, b = 7.738 Å, c = 7.738 Å, α = 90.00°, β = 90.00° and γ = 90.00°. The inequivalent atoms are Ac at (0.000, 0.000, 0.000), Al at (0.250, 0.250, 0.250), Hg at (0.250, 0.250, 0.750) and Pb at (0.000, 0.000, 0.500).

The value obtained for the total energy is -3.1644 eV/atom. As for the formation energy from the elements: -199 meV/atom.

=====

(6)
# CrCu2Ir

A geometry-optimized CrCu2Ir structure (PBE, Alexandria via LeMat-Bulk).

It has space group P4mm (No. 99), with a = 2.707 Å, b = 2.707 Å, c = 6.973 Å, α = 90.00°, β = 90.00° and γ = 90.00°. The inequivalent atoms are Cr at (0.000, 0.000, 0.000), Cu at (0.000, 0.000, 0.493), Cu at (0.500, 0.500, 0.257) and Ir at (0.500, 0.500, 0.767).

The value obtained for the total energy is -6.5978 eV/atom. As for the formation energy from the elements: 71 meV/atom.

=====

(7)
# Cs3Pr3SmTe8

A geometry-optimized Cs3Pr3SmTe8 structure (PBE, Alexandria via LeMat-Bulk).

It has space group C2/m (No. 12), with a = 15.914 Å, b = 9.193 Å, c = 10.626 Å, α = 90.00°, β = 119.93° and γ = 90.00°. The inequivalent atoms are Cs at (0.000, 0.000, 0.000), Cs at (0.250, 0.250, 0.000), Pr at (0.000, 0.500, 0.500), Pr at (0.250, 0.250, 0.500), Sm at (0.000, 0.000, 0.500), Te at (0.018, 0.247, 0.306), Te at (0.229, 0.000, 0.694) and Te at (0.232, 0.500, 0.697).

The value obtained for the total energy is -4.4544 eV/atom. The uncorrected formation energy comes out at -1.338 eV/atom.

=====

(8)
# MnAsW

A geometry-optimized MnAsW structure (PBE, Alexandria via LeMat-Bulk).

It has space group F-43m (No. 216), with a = 5.665 Å, b = 5.665 Å, c = 5.665 Å, α = 90.00°, β = 90.00° and γ = 90.00°. The inequivalent atoms are Mn at (0.000, 0.000, 0.000), As at (0.250, 0.250, 0.750) and W at (0.250, 0.250, 0.250).

The value obtained for the total energy is -8.9737 eV/atom. As for the formation energy from the elements: -50 meV/atom.

=====

(9)
# Er3Ga2Si3

A geometry-optimized Er3Ga2Si3 structure (PBE, Alexandria via LeMat-Bulk).

It has space group Cmcm (No. 63), with a = 4.087 Å, b = 10.625 Å, c = 14.721 Å, α = 90.00°, β = 90.00° and γ = 90.00°. The inequivalent atoms are Er at (0.000, 0.075, 0.250), Er at (0.000, 0.367, 0.096), Ga at (0.000, 0.346, 0.621), Si at (0.000, 0.082, 0.052) and Si at (0.000, 0.195, 0.750).

The value obtained for the total energy is -5.0979 eV/atom. The uncorrected formation energy comes out at -0.597 eV/atom.

=====

(10)
# Ca2Ga7Ir

A geometry-optimized Ca2Ga7Ir structure (PBE, Alexandria via LeMat-Bulk).

It has space group P-4m2 (No. 115), with a = 4.199 Å, b = 4.199 Å, c = 11.090 Å, α = 90.00°, β = 90.00° and γ = 90.00°. The inequivalent atoms are Ca at (0.000, 0.500, 0.242), Ga at (0.000, 0.000, 0.000), Ga at (0.000, 0.000, 0.500), Ga at (0.000, 0.500, 0.641), Ga at (0.000, 0.500, 0.868), Ga at (0.500, 0.500, 0.500) and Ir at (0.500, 0.500, 0.000).

The value obtained for the total energy is -3.7988 eV/atom. As for the formation energy from the elements: -394 meV/atom.

=====

(11)
# TiBeOs3

A geometry-optimized TiBeOs3 structure (PBE, Alexandria via LeMat-Bulk).

It has space group Pm-3m (No. 221), with a = 4.114 Å, b = 4.114 Å, c = 4.114 Å, α = 90.00°, β = 90.00° and γ = 90.00°. The inequivalent atoms are Ti at (0.000, 0.000, 0.000), Be at (0.500, 0.500, 0.500) and Os at (0.000, 0.500, 0.500).

The value obtained for the total energy is -8.8022 eV/atom. As for the formation energy from the elements: 260 meV/atom.

=====

(12)
# La3TmTl4

A geometry-optimized La3TmTl4 structure (PBE, Alexandria via LeMat-Bulk).

It has space group P4/mmm (No. 123), with a = 3.832 Å, b = 3.832 Å, c = 16.450 Å, α = 90.00°, β = 90.00° and γ = 90.00°. The inequivalent atoms are La at (0.000, 0.000, 0.000), La at (0.000, 0.000, 0.260), Tm at (0.000, 0.000, 0.500), Tl at (0.500, 0.500, 0.131) and Tl at (0.500, 0.500, 0.391).

The value obtained for the total energy is -3.9882 eV/atom. As for the formation energy from the elements: -398 meV/atom.

=====

(13)
# Y4AlRh

A geometry-optimized Y4AlRh structure (PBE, Alexandria via LeMat-Bulk).

It has space group C2/c (No. 15), with a = 8.930 Å, b = 13.415 Å, c = 6.056 Å, α = 90.00°, β = 117.45° and γ = 90.00°. The inequivalent atoms are Y at (0.120, 0.179, 0.084), Y at (0.210, 0.432, 0.316), Al at (0.000, 0.371, 0.750) and Rh at (0.000, 0.001, 0.250).

The value obtained for the total energy is -6.5842 eV/atom. As for the formation energy from the elements: -426 meV/atom.

=====

(14)
# Cs4Hg3Sb

A geometry-optimized Cs4Hg3Sb structure (PBE, Alexandria via LeMat-Bulk).

It has space group Pmm2 (No. 25), with a = 5.123 Å, b = 5.805 Å, c = 13.679 Å, α = 90.00°, β = 90.00° and γ = 90.00°. The inequivalent atoms are Cs at (0.000, 0.000, 0.000), Cs at (0.000, 0.500, 0.478), Cs at (0.500, 0.000, 0.693), Cs at (0.500, 0.500, 0.201), Hg at (0.000, 0.500, 0.780), Hg at (0.500, 0.000, 0.401), Hg at (0.500, 0.500, 0.901) and Sb at (0.000, 0.000, 0.286).

The value obtained for the total energy is -1.3442 eV/atom. The uncorrected formation energy comes out at -0.289 eV/atom.

=====

(15)
# CdPtSe

A geometry-optimized CdPtSe structure (PBE, Alexandria via LeMat-Bulk).

It has space group P3m1 (No. 156), with a = 4.2468 Å, b = 4.2468 Å, c = 4.0521 Å, α = 90.00°, β = 90.00° and γ = 120.00°. The inequivalent atoms are Cd at (0.0000, 0.0000, 0.0000), Pt at (0.3333, 0.6667, 0.6156) and Se at (0.6667, 0.3333, 0.4823).

The value obtained for the total energy is -3.5464 eV/atom. The uncorrected formation energy comes out at -0.066 eV/atom.

=====

(16)
# LaGeTe3

A geometry-optimized LaGeTe3 structure (PBE, Alexandria via LeMat-Bulk).

It has space group Pm-3m (No. 221), with a = 6.113 Å, b = 6.113 Å, c = 6.113 Å, α = 90.00°, β = 90.00° and γ = 90.00°. The inequivalent atoms are La at (0.000, 0.000, 0.000), Ge at (0.500, 0.500, 0.500) and Te at (0.000, 0.000, 0.500).

The value obtained for the total energy is -3.6548 eV/atom. The uncorrected formation energy comes out at 0.139 eV/atom.

=====

(17)
# Ba2ScCl

A geometry-optimized Ba2ScCl structure (PBE, Alexandria via LeMat-Bulk).

It has space group Cmmm (No. 65), with a = 4.554 Å, b = 6.408 Å, c = 10.453 Å, α = 90.00°, β = 90.00° and γ = 90.00°. The inequivalent atoms are Ba at (0.000, 0.000, 0.227), Sc at (0.000, 0.500, 0.500) and Cl at (0.000, 0.500, 0.000).

The value obtained for the total energy is -3.5698 eV/atom. The uncorrected formation energy comes out at -0.564 eV/atom.

=====

(18)
# MgTi2Pd3

A geometry-optimized MgTi2Pd3 structure (PBE, Alexandria via LeMat-Bulk).

It has space group P4/mmm (No. 123), with a = 3.078 Å, b = 3.078 Å, c = 10.178 Å, α = 90.00°, β = 90.00° and γ = 90.00°. The inequivalent atoms are Mg at (0.000, 0.000, 0.000), Ti at (0.000, 0.000, 0.332), Pd at (0.500, 0.500, 0.175) and Pd at (0.500, 0.500, 0.500).

The value obtained for the total energy is -6.0686 eV/atom. As for the formation energy from the elements: -575 meV/atom.

=====

(19)
# La7SmY2

A geometry-optimized La7SmY2 structure (PBE, Alexandria via LeMat-Bulk).

It has space group Cmmm (No. 65), with a = 12.240 Å, b = 17.287 Å, c = 3.540 Å, α = 90.00°, β = 90.00° and γ = 90.00°. The inequivalent atoms are La at (0.000, 0.000, 0.000), La at (0.000, 0.178, 0.500), La at (0.243, 0.131, 0.000), Sm at (0.000, 0.500, 0.500) and Y at (0.000, 0.334, 0.000).

The value obtained for the total energy is -4.8793 eV/atom. As for the formation energy from the elements: 335 meV/atom.

=====

(20)
# Sn2Pd5Pb2

A geometry-optimized Sn2Pd5Pb2 structure (PBE, Alexandria via LeMat-Bulk).

It has space group Cmce (No. 64), with a = 13.680 Å, b = 7.387 Å, c = 7.288 Å, α = 90.00°, β = 90.00° and γ = 90.00°. The inequivalent atoms are Sn at (0.000, 0.154, 0.146), Pd at (0.000, 0.000, 0.500), Pd at (0.123, 0.140, 0.842) and Pb at (0.206, 0.000, 0.500).

The value obtained for the total energy is -4.9000 eV/atom. As for the formation energy from the elements: -302 meV/atom.